Entry 1:
Material: MgGaAg
Method: DFT, PBE
State: relaxed

DFT formation energy	-0.066	eV per atom

Structure (extended XYZ):
```
3
Lattice="-0.393 2.043 3.950 -4.048 0.920 1.645 -1.538 -2.252 3.535" Properties=species:S:1:pos:R:3 pbc="T T T"
Ag -1.495 0.178 2.282
Mg -2.989 0.355 4.565
Ga 0.000 0.000 0.000
```


Entry 2:
Material: Sr2TbSnO6
Method: DFT, PBE
State: relaxed

E_form (uncorrected)	-2432.4	meV/atom

Structure (extended XYZ):
```
10
Lattice="-4.713 0.891 3.662 -0.622 5.259 2.893 -4.385 3.824 -1.601" Properties=species:S:1:pos:R:3 pbc="T T T"
O -2.662 5.128 2.692
Sr -2.430 2.494 1.238
O -4.936 7.111 1.862
O -4.613 4.384 0.362
O -7.057 4.846 2.261
O -5.106 5.590 4.591
Sn 0.000 0.000 0.000
Sr -7.290 7.481 3.715
O -4.784 2.863 3.091
Tb -4.860 4.987 2.477
```


Entry 3:
Material: AcLa2Pd
Method: DFT, PBE
State: relaxed

DFT formation energy	-0.333	eV per atom

Structure (extended XYZ):
```
4
Lattice="-1.395 3.734 -1.032 -0.151 1.120 -3.959 -9.611 -1.966 -2.331" Properties=species:S:1:pos:R:3 pbc="T T T"
La -2.151 0.973 -1.784
Pd -1.038 3.233 -3.328
La -7.975 -1.321 -2.211
Ac -5.572 1.447 -3.660
```